Record 1
Sr2PtN2 meta-GGA SCAN single point on PBEsol structure; theoretical density = 6.98 g cm⁻³; E_form (uncorrected) = -2.19 eV per formula unit; magnetization = 0.40 μB per atom
1.0
-0.437 -4.899 -0.490
4.601 1.930 1.538
1.323 -0.591 4.726
N Sr Pt
2 2 1
direct
0.581 0.162 0.419
0.419 0.838 0.581
0.750 0.500 0.750
0.250 0.500 0.250
0.000 0.000 0.000

Record 2
TaRe2Tc meta-GGA SCAN single point on PBEsol structure; theoretical density = 17.81 g cm⁻³; energy relative to the elements = -128 meV/atom; magnetization = 0.00 μB per atom; polymorph energy (0 for the lowest one) = 0.000 eV per atom
1.0
3.102 0.000 0.000
0.000 3.102 0.000
0.000 0.000 6.310
Re Ta Tc
2 1 1
direct
0.000 0.000 0.003
0.500 0.500 0.248
0.000 0.000 0.506
0.500 0.500 0.744

Record 3
RbGaHg3 meta-GGA SCAN single point on PBEsol structure; theoretical density = 8.41 g cm⁻³; energy relative to the elements = -183 meV/atom; magnetization = 0.00 μB per atom
1.0
-2.955 4.094 1.637
-3.805 -3.363 1.543
2.227 -0.314 4.807
Hg Rb Ga
3 1 1
direct
0.000 0.000 0.500
0.500 0.000 0.000
0.000 0.500 0.000
0.500 0.500 0.500
0.000 0.000 0.000

Record 4
MnFe3P4O16 meta-GGA SCAN single point on PBEsol structure; theoretical density = 3.58 g cm⁻³; E_form (uncorrected) = -52.84 eV per formula unit; magnetization = 0.79 μB per atom
1.0
-2.930 -3.230 2.077
7.092 -6.802 -0.575
3.953 3.225 10.591
O Mn P Fe
32 2 8 6
direct
0.612 0.553 0.000
0.903 0.445 0.750
0.604 0.558 0.500
0.976 0.375 0.000
0.531 0.623 0.248
0.513 0.333 0.602
0.097 0.945 0.250
0.990 0.671 0.350
0.531 0.623 0.752
0.483 0.829 0.603
0.097 0.945 0.750
0.517 0.329 0.103
0.010 0.171 0.150
0.396 0.058 0.000
0.010 0.171 0.850
0.903 0.445 0.250
0.469 0.123 0.748
0.010 0.171 0.647
0.388 0.053 0.500
0.990 0.671 0.147
0.026 0.880 0.000
0.517 0.329 0.897
0.010 0.171 0.353
0.483 0.829 0.397
0.487 0.833 0.898
0.990 0.671 0.853
0.974 0.380 0.500
0.990 0.671 0.650
0.487 0.833 0.102
0.024 0.875 0.500
0.513 0.333 0.398
0.469 0.123 0.252
0.178 0.216 0.000
0.822 0.716 0.500
0.340 0.899 0.500
0.663 0.405 0.500
0.158 0.097 0.748
0.337 0.905 0.000
0.842 0.597 0.752
0.158 0.097 0.252
0.660 0.399 0.000
0.842 0.597 0.248
0.292 0.776 0.251
0.788 0.726 0.000
0.708 0.276 0.249
0.212 0.226 0.500
0.292 0.776 0.749
0.708 0.276 0.751